Density functional theory data (GGA-PBE) for a geometry-optimized P2PbBr structure.

Values from the calculation:
Distance to the lowest polymorph of the same formula in meV/atom: 883.8
DOS(E_F) in states/eV/cell: 3.70
E_form (uncorrected) in eV/atom: 0.7529
Spin magnetization in μB/cell: 0.000
DFT total energy in eV per atom: -3.2974

a b c (Å): 5.211 5.211 3.275
angles (deg): 90.00 90.00 90.00
Positions (direct):
Br 0.000 0.500 0.500
P 0.000 0.000 0.000
P 0.500 0.500 0.000
Pb 0.500 0.000 0.500



Density functional theory data (GGA-PBE) for a geometry-optimized SmSiF structure.

Values from the calculation:
DOS(E_F) in states/eV/cell: 1.49
E_form (uncorrected) in eV/atom: -2.0363
Spin magnetization in μB/cell: 0.000
DFT total energy in eV per atom: -6.0408

a b c (Å): 4.061 7.953 7.954
angles (deg): 150.57 90.00 104.79
Positions (direct):
Sm 0.587 0.174 0.411
Sm 0.413 0.826 0.589
Si 0.839 0.678 0.161
Si 0.161 0.322 0.839
F 0.696 0.393 0.305
F 0.304 0.607 0.695



Density functional theory data (GGA-PBE) for a geometry-optimized Nd5CoAg structure.

Values from the calculation:
Formation energy from the elements in meV per atom: -4
DOS(E_F) in states/eV/cell: 15.68
Spin magnetization in μB/cell: 0.000
DFT total energy in eV per atom: -4.8316

a b c (Å): 6.147 6.147 11.866
angles (deg): 75.73 75.73 73.55
Positions (direct):
Nd 0.927 0.588 0.131
Nd 0.207 0.556 0.558
Nd 0.588 0.927 0.631
Nd 0.013 0.987 0.250
Nd 0.444 0.793 0.942
Nd 0.556 0.207 0.058
Nd 0.987 0.013 0.750
Nd 0.412 0.073 0.369
Nd 0.793 0.444 0.442
Nd 0.073 0.412 0.869
Co 0.000 0.000 0.000
Co 0.000 0.000 0.500
Ag 0.424 0.576 0.250
Ag 0.576 0.424 0.750



Density functional theory data (GGA-PBE) for a geometry-optimized YTc2C structure.

Values from the calculation:
Formation energy from the elements in meV per atom: 72
DOS(E_F) in states/eV/cell: 5.13
Spin magnetization in μB/cell: 0.000
DFT total energy in eV per atom: -9.0328

a b c (Å): 3.154 5.299 7.436
angles (deg): 90.00 90.00 107.35
Positions (direct):
Y 0.944 0.888 0.250
Y 0.056 0.112 0.750
Tc 0.340 0.679 0.565
Tc 0.660 0.321 0.435
Tc 0.340 0.679 0.935
Tc 0.660 0.321 0.065
C 0.780 0.560 0.750
C 0.220 0.440 0.250



Question: What is the spin magnetization in the second record?
Answer: 0.000 μB/cell



Question: Among the records above, which one has the lowest DOS(E_F)?
Answer: SmSiF



Copy entry 2 word for word.
Density functional theory data (GGA-PBE) for a geometry-optimized SmSiF structure.

Values from the calculation:
DOS(E_F) in states/eV/cell: 1.49
E_form (uncorrected) in eV/atom: -2.0363
Spin magnetization in μB/cell: 0.000
DFT total energy in eV per atom: -6.0408

a b c (Å): 4.061 7.953 7.954
angles (deg): 150.57 90.00 104.79
Positions (direct):
Sm 0.587 0.174 0.411
Sm 0.413 0.826 0.589
Si 0.839 0.678 0.161
Si 0.161 0.322 0.839
F 0.696 0.393 0.305
F 0.304 0.607 0.695



Question: What is the spin magnetization in the third record?
Answer: 0.000 μB/cell